# K2DyBi2O6 | Alexandria | PBE | relaxed
data_K2DyBi2O6
_symmetry_space_group_name_H-M 'C 1 2/m 1'
_symmetry_Int_Tables_number 12
_cell_length_a 6.1308
_cell_length_b 10.5265
_cell_length_c 6.7416
_cell_angle_alpha 90.00
_cell_angle_beta 107.88
_cell_angle_gamma 90.00
loop_
_symmetry_equiv_pos_as_xyz
'x,y,z'
'-x,-y,-z'
'-x,y,-z'
'x,-y,z'
'x+1/2,y+1/2,z'
'-x+1/2,-y+1/2,-z'
'-x+1/2,y+1/2,-z'
'x+1/2,-y+1/2,z'
loop_
_atom_site_label
_atom_site_fract_x
_atom_site_fract_y
_atom_site_fract_z
K1 0.0000 0.1692 0.0000
Dy1 0.0000 0.0000 0.5000
Bi1 0.0000 0.3351 0.5000
O1 0.2210 0.1687 0.6809
O2 0.2467 0.5000 0.6853
# V, A^3/atom: 18.821
# Uncorrected formation energy, eV/atom: -1.76